# K2NaMoO3F3

K2NaMoO3F3 after structural relaxation (GGA+U, the Alexandria database).

Values from the calculation:
As for the symmetry: Fmm2, No. 42. As for the calculated total energy: -5.360 eV/atom.

Geometry as POSCAR:
```
K2NaMoO3F3
1.0
0.0000 4.2976 4.3690
4.1862 0.0000 4.3690
4.1862 4.2976 0.0000
K Na Mo O F
2 1 1 3 3
Direct
0.0000 0.0000 0.5000
0.5000 0.5000 0.0000
0.2595 0.2595 0.7405
0.7436 0.7436 0.2564
0.5399 0.5399 0.4601
0.5701 0.9994 0.4299
0.9994 0.5701 0.0006
0.9999 0.9999 0.0001
0.5245 0.9955 0.0045
0.9955 0.5245 0.4755
```